(1)
Crystalline NaZnCuSb2 at its relaxed geometry. Source: Alexandria, functional GGA-PBE.

Computed properties:
VASP energy   -3.069 eV/atom
SG   No. 119
Volume   24.02 Å³/atom
Crystal system   tetragonal
Formation energy without anion corrections   -0.4 eV per formula unit

Cell lengths 6.812, 6.812, 6.812 Å; angles 141.79, 141.79, 55.15 degrees
Fractional coordinates of all 5 atoms:
Na 0.000 0.000 0.000
Zn 0.750 0.250 0.500
Cu 0.250 0.750 0.500
Sb 0.375 0.375 0.000
Sb 0.625 0.625 0.000



(2)
Crystalline NaSc3Cu at its relaxed geometry. Source: Alexandria, functional GGA-PBE.

Computed properties:
DFT formation energy   1.267 eV/atom
VASP energy   -3.615 eV/atom
SG   No. 221
Volume   27.03 Å³/atom
Crystal system   cubic
Polymorph energy (0 for the lowest one)   472 kJ/mol of formula units

Cell lengths 5.132, 5.132, 5.132 Å; angles 90.00, 90.00, 90.00 degrees
Fractional coordinates of all 5 atoms:
Na 0.000 0.000 0.000
Sc 0.000 0.000 0.500
Sc 0.000 0.500 0.000
Sc 0.500 0.000 0.000
Cu 0.500 0.500 0.500



(3)
Crystalline NaScCu3 at its relaxed geometry. Source: Alexandria, functional GGA-PBE.

Computed properties:
DFT formation energy   0.753 eV/atom
VASP energy   -3.234 eV/atom
SG   No. 221
Volume   24.54 Å³/atom
Crystal system   cubic
Polymorph energy (0 for the lowest one)   0 kJ/mol of formula units

Cell lengths 4.969, 4.969, 4.969 Å; angles 90.00, 90.00, 90.00 degrees
Fractional coordinates of all 5 atoms:
Na 0.000 0.000 0.000
Sc 0.500 0.500 0.500
Cu 0.000 0.500 0.500
Cu 0.500 0.000 0.500
Cu 0.500 0.500 0.000



(4)
Crystalline Na2ScCu2 at its relaxed geometry. Source: Alexandria, functional GGA-PBE.

Computed properties:
DFT formation energy   0.276 eV/atom
VASP energy   -3.157 eV/atom
SG   No. 127
Volume   21.97 Å³/atom
Crystal system   tetragonal
Polymorph energy (0 for the lowest one)   19 kJ/mol of formula units

Cell lengths 6.746, 6.746, 4.828 Å; angles 90.00, 90.00, 90.00 degrees
Fractional coordinates of all 10 atoms:
Na 0.170 0.330 0.000
Na 0.330 0.830 0.000
Na 0.670 0.170 0.000
Na 0.830 0.670 0.000
Sc 0.000 0.000 0.500
Sc 0.500 0.500 0.500
Cu 0.124 0.624 0.500
Cu 0.376 0.124 0.500
Cu 0.624 0.876 0.500
Cu 0.876 0.376 0.500



(5)
Crystalline NaSc3Cu at its relaxed geometry. Source: Alexandria, functional GGA-PBE.

Computed properties:
DFT formation energy   0.289 eV/atom
VASP energy   -4.593 eV/atom
SG   No. 221
Volume   26.60 Å³/atom
Crystal system   cubic
Polymorph energy (0 for the lowest one)   0 kJ/mol of formula units

Cell lengths 5.105, 5.105, 5.105 Å; angles 90.00, 90.00, 90.00 degrees
Fractional coordinates of all 5 atoms:
Na 0.000 0.000 0.000
Sc 0.000 0.500 0.500
Sc 0.500 0.000 0.500
Sc 0.500 0.500 0.000
Cu 0.500 0.500 0.500



(6)
Crystalline Na2ScCu2 at its relaxed geometry. Source: Alexandria, functional GGA-PBE.

Computed properties:
DFT formation energy   0.236 eV/atom
VASP energy   -3.196 eV/atom
SG   No. 139
Volume   20.05 Å³/atom
Crystal system   tetragonal
Polymorph energy (0 for the lowest one)   0 kJ/mol of formula units

Cell lengths 7.375, 7.375, 7.375 Å; angles 149.96, 149.96, 43.00 degrees
Fractional coordinates of all 5 atoms:
Na 0.250 0.750 0.500
Na 0.750 0.250 0.500
Sc 0.000 0.000 0.000
Cu 0.415 0.415 0.000
Cu 0.585 0.585 0.000



(7)
Crystalline NaSc2Cu2 at its relaxed geometry. Source: Alexandria, functional GGA-PBE.

Computed properties:
DFT formation energy   -0.020 eV/atom
VASP energy   -4.455 eV/atom
SG   No. 127
Volume   19.60 Å³/atom
Crystal system   tetragonal
Polymorph energy (0 for the lowest one)   0 kJ/mol of formula units

Cell lengths 7.732, 7.732, 3.279 Å; angles 90.00, 90.00, 90.00 degrees
Fractional coordinates of all 10 atoms:
Na 0.000 0.000 0.000
Na 0.500 0.500 0.000
Sc 0.157 0.343 0.500
Sc 0.343 0.843 0.500
Sc 0.657 0.157 0.500
Sc 0.843 0.657 0.500
Cu 0.127 0.627 0.000
Cu 0.373 0.127 0.000
Cu 0.627 0.873 0.000
Cu 0.873 0.373 0.000



(8)
Crystalline Na2ScCu at its relaxed geometry. Source: Alexandria, functional GGA-PBE.

Computed properties:
DFT formation energy   0.516 eV/atom
VASP energy   -2.750 eV/atom
SG   No. 122
Volume   25.68 Å³/atom
Crystal system   tetragonal
Polymorph energy (0 for the lowest one)   0 kJ/mol of formula units

Cell lengths 6.702, 6.702, 6.702 Å; angles 99.69, 99.69, 131.56 degrees
Fractional coordinates of all 8 atoms:
Na 0.064 0.625 0.939
Na 0.375 0.314 0.439
Na 0.686 0.125 0.061
Na 0.875 0.936 0.561
Sc 0.250 0.750 0.500
Sc 0.500 0.500 0.000
Cu 0.000 0.000 0.000
Cu 0.750 0.250 0.500